Entry 1:
A plane-wave DFT calculation with PBE was carried out for crystalline Sr3CaTa at its relaxed geometry.

Cell lengths 6.0745, 6.0745, 6.0745 Å; angles 90.00, 90.00, 90.00 degrees
With the nearest neighbours (Å) after each atom.
Atoms (fractional coordinates):
Sr  0.0000  0.0000  0.5000  2 Ta 3.04
Sr  0.0000  0.5000  0.0000  2 Ta 3.04
Sr  0.5000  0.0000  0.0000  2 Ta 3.04
Ca  0.5000  0.5000  0.5000  12 Sr 4.30
Ta  0.0000  0.0000  0.0000  6 Sr 3.04

Results
DOS(E_F) ... 4.01 states/eV per cell
Polymorph energy (0 for the lowest one) ... 0.000 eV per atom

=====

Entry 2:
A plane-wave DFT calculation with PBE was carried out for crystalline Sr2CaTa at its relaxed geometry.

Cell lengths 12.6185, 12.6185, 12.6185 Å; angles 16.34, 16.34, 16.34 degrees
With the nearest neighbours (Å) after each atom.
Atoms (fractional coordinates):
Sr  0.2377  0.2377  0.2377  3 Ta 3.37, 6 Sr 3.59
Sr  0.7623  0.7623  0.7623  3 Ta 3.37, 6 Sr 3.59
Ca  0.0000  0.0000  0.0000  6 Ca 3.59
Ta  0.5000  0.5000  0.5000  6 Sr 3.37, 6 Ta 3.59

Results
DOS(E_F) ... 3.52 states/eV per cell
Polymorph energy (0 for the lowest one) ... 0.059 eV per atom

=====

Entry 3:
A plane-wave DFT calculation with PBE was carried out for crystalline Sr2CaTa at its relaxed geometry.

Cell lengths 5.8420, 5.8420, 5.8420 Å; angles 60.00, 60.00, 60.00 degrees
With the nearest neighbours (Å) after each atom.
Atoms (fractional coordinates):
Sr  0.0000  0.0000  0.0000  4 Ta 3.58, 4 Sr 3.58
Sr  0.2500  0.2500  0.2500  4 Ca 3.58, 4 Sr 3.58
Ca  0.5000  0.5000  0.5000  4 Ta 3.58, 4 Sr 3.58
Ta  0.7500  0.7500  0.7500  4 Ca 3.58, 4 Sr 3.58

Results
DOS(E_F) ... 5.22 states/eV per cell
Polymorph energy (0 for the lowest one) ... 0.170 eV per atom

=====

Entry 4:
A plane-wave DFT calculation with PBE was carried out for crystalline Sr2CaTa at its relaxed geometry.

Cell lengths 12.5292, 12.5292, 12.5292 Å; angles 16.52, 16.52, 16.52 degrees
With the nearest neighbours (Å) after each atom.
Atoms (fractional coordinates):
Sr  0.0000  0.0000  0.0000  3 Ta 3.36, 6 Sr 3.60
Sr  0.2338  0.2338  0.2338  6 Sr 3.60
Ca  0.4725  0.4725  0.4725  3 Ta 3.26, 6 Ca 3.60
Ta  0.7380  0.7380  0.7380  3 Ca 3.26, 3 Sr 3.36, 6 Ta 3.60

Results
DOS(E_F) ... 4.69 states/eV per cell
Polymorph energy (0 for the lowest one) ... 0.049 eV per atom

=====

Entry 5:
A plane-wave DFT calculation with PBE was carried out for crystalline SrCaTa at its relaxed geometry.

Cell lengths 8.6626, 8.6626, 8.6626 Å; angles 157.99, 157.99, 31.33 degrees
With the nearest neighbours (Å) after each atom.
Atoms (fractional coordinates):
Sr  0.0000  0.0000  0.0000  4 Sr 3.31, 4 Ta 3.42
Ca  0.2870  0.2870  0.0000  4 Ta 3.28, 4 Ca 3.31
Ta  0.6494  0.6494  0.0000  4 Ca 3.28, 4 Ta 3.31, 4 Sr 3.42

Results
DOS(E_F) ... 4.63 states/eV per cell
Polymorph energy (0 for the lowest one) ... 0.000 eV per atom

=====

Entry 6:
A plane-wave DFT calculation with PBE was carried out for crystalline Sr2CaTa at its relaxed geometry.

Cell lengths 3.5171, 5.1790, 7.7350 Å; angles 90.00, 90.20, 90.00 degrees
With the nearest neighbours (Å) after each atom.
Atoms (fractional coordinates):
Sr  0.0013  0.0000  0.2803  3 Sr 3.40-3.52, 4 Ta 3.56-3.57, 2 Ca 3.81
Sr  0.9987  0.0000  0.7197  3 Sr 3.40-3.52, 4 Ta 3.56-3.57, 2 Ca 3.81
Ca  0.5000  0.5000  0.0000  2 Ca 3.52, 8 Sr 3.81, 2 Ta 3.87
Ta  0.5000  0.5000  0.5000  2 Ta 3.52, 8 Sr 3.56-3.57, 2 Ca 3.87

Results
DOS(E_F) ... 5.35 states/eV per cell
Polymorph energy (0 for the lowest one) ... 0.137 eV per atom

=====

| no. | total magnetization (μB/f.u.) | energy relative to the elements (eV/atom) | raw total energy (eV per cell) |
| --- | --- | --- | --- |
| 1 | 0.00 | 0.86 | -14.62 |
| 2 | 0.00 | 0.76 | -14.17 |
| 3 | 2.90 | 0.87 | -13.72 |
| 4 | 0.00 | 0.75 | -14.21 |
| 5 | 0.00 | 0.80 | -13.15 |
| 6 | 1.99 | 0.84 | -13.85 |